This record from Alexandria describes a relaxed ZrAs2SeS crystal. The functional is PBE-GGA.

Cell: 4.7593 4.7593 4.6997 Å, 90.00 90.00 90.00°
Fractional positions:
Zr  0.0000  0.0000  0.0000
As  0.0000  0.5000  0.5000
As  0.5000  0.0000  0.5000
Se  0.5000  0.5000  0.0000
S  0.5000  0.5000  0.5000

DOS at the Fermi energy, states/eV per atom: 0.761
Spin magnetization, μB/f.u.: 0.00
Formation energy without anion corrections, eV per atom: 0.32
E, eV per atom: -4.768
Space-group type: P4/mmm